No. 1
RbPaTlO5 | PBE | optimized geometry

Lattice parameters (Å, degrees): 6.637 6.637 8.428 104.71 104.71 106.96
Positions (direct):
1 Rb 0.175 0.825 0.750
2 Rb 0.825 0.175 0.250
3 Pa 0.500 0.500 0.000
4 Pa 0.500 0.500 0.500
5 Tl 0.190 0.810 0.250
6 Tl 0.810 0.190 0.750
7 O 0.159 0.273 0.902
8 O 0.228 0.606 0.410
9 O 0.273 0.159 0.402
10 O 0.394 0.772 0.090
11 O 0.453 0.547 0.750
12 O 0.547 0.453 0.250
13 O 0.606 0.228 0.910
14 O 0.727 0.841 0.598
15 O 0.772 0.394 0.590
16 O 0.841 0.727 0.098

Values from the calculation:
**SG**: C2/c, No. 15
**Total energy**: -6.679 eV/atom

=====

No. 2
RbTmPaO6 | PBE | optimized geometry

Lattice parameters (Å, degrees): 6.234 6.234 4.782 90.00 90.00 120.00
Positions (direct):
1 Rb 0.000 0.000 0.000
2 Tm 0.333 0.667 0.000
3 Pa 0.667 0.333 0.500
4 O 0.429 0.005 0.251
5 O 0.429 0.424 0.749
6 O 0.576 0.005 0.749
7 O 0.576 0.571 0.251
8 O 0.995 0.424 0.251
9 O 0.995 0.571 0.749

Values from the calculation:
**SG**: P312, No. 149
**Total energy**: -7.269 eV/atom

=====

No. 3
Rb3TmPa2O9 | PBE | optimized geometry

Lattice parameters (Å, degrees): 6.238 6.238 7.603 90.00 90.00 120.00
Positions (direct):
1 Rb 0.000 0.000 0.000
2 Rb 0.333 0.667 0.664
3 Rb 0.667 0.333 0.336
4 Tm 0.000 0.000 0.500
5 Pa 0.333 0.667 0.172
6 Pa 0.667 0.333 0.828
7 O 0.000 0.500 0.000
8 O 0.171 0.342 0.331
9 O 0.171 0.829 0.331
10 O 0.342 0.171 0.669
11 O 0.500 0.000 0.000
12 O 0.500 0.500 0.000
13 O 0.658 0.829 0.331
14 O 0.829 0.171 0.669
15 O 0.829 0.658 0.669

Values from the calculation:
**SG**: P-3m1, No. 164
**Total energy**: -7.480 eV/atom

=====

No. 4
Rb2TmPa3O12 | PBE | optimized geometry

Lattice parameters (Å, degrees): 7.985 7.985 7.985 62.09 62.09 62.09
Positions (direct):
1 Rb 0.161 0.161 0.161
2 Rb 0.839 0.839 0.839
3 Tm 0.500 0.500 0.500
4 Pa 0.000 0.500 0.500
5 Pa 0.500 0.000 0.500
6 Pa 0.500 0.500 0.000
7 O 0.178 0.565 0.565
8 O 0.188 0.188 0.548
9 O 0.188 0.548 0.188
10 O 0.435 0.435 0.822
11 O 0.435 0.822 0.435
12 O 0.452 0.812 0.812
13 O 0.548 0.188 0.188
14 O 0.565 0.178 0.565
15 O 0.565 0.565 0.178
16 O 0.812 0.452 0.812
17 O 0.812 0.812 0.452
18 O 0.822 0.435 0.435

Values from the calculation:
**SG**: R-3m, No. 166
**Total energy**: -7.954 eV/atom

=====

No. 5
Rb3U2PaO9 | PBE | optimized geometry

Lattice parameters (Å, degrees): 6.189 6.189 7.580 90.00 90.00 120.00
Positions (direct):
1 Rb 0.000 0.000 0.000
2 Rb 0.333 0.667 0.668
3 Rb 0.667 0.333 0.332
4 U 0.333 0.667 0.165
5 U 0.667 0.333 0.835
6 Pa 0.000 0.000 0.500
7 O 0.000 0.500 0.000
8 O 0.168 0.335 0.332
9 O 0.168 0.832 0.332
10 O 0.335 0.168 0.668
11 O 0.500 0.000 0.000
12 O 0.500 0.500 0.000
13 O 0.665 0.832 0.332
14 O 0.832 0.168 0.668
15 O 0.832 0.665 0.668

Values from the calculation:
**SG**: P-3m1, No. 164
**Total energy**: -8.267 eV/atom

=====

No. 6
RbUPaO6 | PBE | optimized geometry

Lattice parameters (Å, degrees): 8.009 8.009 8.009 120.26 119.76 89.98
Positions (direct):
1 Rb 0.359 0.109 0.250
2 Rb 0.641 0.891 0.750
3 U 0.000 0.500 0.500
4 U 0.500 0.500 0.000
5 Pa 0.000 0.000 0.500
6 Pa 0.000 0.500 0.000
7 O 0.068 0.437 0.260
8 O 0.068 0.808 0.631
9 O 0.071 0.821 0.250
10 O 0.309 0.559 0.750
11 O 0.323 0.192 0.760
12 O 0.323 0.563 0.131
13 O 0.677 0.437 0.869
14 O 0.677 0.808 0.240
15 O 0.691 0.441 0.250
16 O 0.929 0.179 0.750
17 O 0.932 0.192 0.369
18 O 0.932 0.563 0.740

Values from the calculation:
**SG**: Imma, No. 74
**Total energy**: -8.856 eV/atom

=====

No. 7
Rb2UPaO6 | PBE | optimized geometry

Lattice parameters (Å, degrees): 4.386 4.386 8.769 90.00 90.00 90.00
Positions (direct):
1 Rb 0.000 0.000 0.246
2 Rb 0.000 0.000 0.754
3 U 0.500 0.500 0.000
4 Pa 0.500 0.500 0.500
5 O 0.000 0.500 0.000
6 O 0.000 0.500 0.500
7 O 0.500 0.000 0.000
8 O 0.500 0.000 0.500
9 O 0.500 0.500 0.247
10 O 0.500 0.500 0.753

Values from the calculation:
**SG**: P4/mmm, No. 123
**Total energy**: -8.248 eV/atom

=====

No. 8
Rb2UPa3O12 | PBE | optimized geometry

Lattice parameters (Å, degrees): 8.071 8.071 8.071 59.74 59.74 59.74
Positions (direct):
1 Rb 0.111 0.111 0.111
2 Rb 0.889 0.889 0.889
3 U 0.500 0.500 0.500
4 Pa 0.000 0.500 0.500
5 Pa 0.500 0.000 0.500
6 Pa 0.500 0.500 0.000
7 O 0.181 0.181 0.570
8 O 0.181 0.570 0.181
9 O 0.194 0.563 0.563
10 O 0.430 0.819 0.819
11 O 0.437 0.437 0.806
12 O 0.437 0.806 0.437
13 O 0.563 0.194 0.563
14 O 0.563 0.563 0.194
15 O 0.570 0.181 0.181
16 O 0.806 0.437 0.437
17 O 0.819 0.430 0.819
18 O 0.819 0.819 0.430

Values from the calculation:
**SG**: R-3m, No. 166
**Total energy**: -8.701 eV/atom

=====

Number 1: DOS at the Fermi energy 0.98 states/eV per atom, total magnetic moment 1.60 Bohr magnetons per cell. Number 2: DOS at the Fermi energy 0.47 states/eV per atom, total magnetic moment 3.04 Bohr magnetons per cell. Number 3: DOS at the Fermi energy 0.81 states/eV per atom, total magnetic moment 2.08 Bohr magnetons per cell. Number 4: DOS at the Fermi energy 0.87 states/eV per atom, total magnetic moment 3.02 Bohr magnetons per cell. Number 5: DOS at the Fermi energy 0.01 states/eV per atom, total magnetic moment 2.00 Bohr magnetons per cell. Number 6: DOS at the Fermi energy 0.00 states/eV per atom, total magnetic moment 0.00 Bohr magnetons per cell. Number 7: DOS at the Fermi energy 0.07 states/eV per atom, total magnetic moment 1.00 Bohr magnetons per cell. Number 8: DOS at the Fermi energy 0.92 states/eV per atom, total magnetic moment 0.00 Bohr magnetons per cell.